A plane-wave DFT calculation with GGA-PBE was carried out for NaLaNb4N8 after structural relaxation.

Cell: 6.3973 6.3973 16.4688 Å, 90.00 90.00 120.00°
Space group R3m (No. 160, hexagonal axes)
One atom of each set of equivalent atoms:
Na 0.0000 0.0000 0.0000
La 0.0000 0.0000 0.3797
Nb 0.0000 0.0000 0.6272
Nb 0.1726 0.3452 0.8346
N 0.0000 0.0000 0.2385
N 0.0000 0.0000 0.7655
N 0.0128 0.5064 0.2456
N 0.0423 0.5212 0.7736

Properties
formation energy without anion corrections: -0.76 eV/atom

---

A plane-wave DFT calculation with GGA-PBE was carried out for Ac2MnB3Pt12 after structural relaxation.

Cell: 7.9626 7.9626 18.0736 Å, 90.00 90.00 120.00°
Space group R-3m (No. 166, hexagonal axes)
One atom of each set of equivalent atoms:
Ac 0.0000 0.0000 0.1090
Mn 0.0000 0.0000 0.5000
B 0.0000 0.5000 0.0000
Pt 0.0069 0.5035 0.1173
Pt 0.0623 0.5311 0.3540

Properties
energy of formation: -8.14 eV/f.u.

---

A plane-wave DFT calculation with GGA-PBE was carried out for Be2ReMo after structural relaxation.

Cell: 3.065 3.065 5.383 Å, 90.00 90.00 90.00°
Space group P4mm (No. 99)
One atom of each set of equivalent atoms:
Be 0.000 0.000 0.000
Be 0.500 0.500 0.206
Re 0.500 0.500 0.742
Mo 0.000 0.000 0.487

Properties
energy of formation: 0.57 eV/f.u.
energy above the lowest structure with this stoichiometry: 384.0 meV/atom

---

A plane-wave DFT calculation with GGA-PBE was carried out for AsHSe2 after structural relaxation.

Cell: 3.0083 3.0083 25.3233 Å, 90.00 90.00 120.00°
Space group R-3m (No. 166, hexagonal axes)
One atom of each set of equivalent atoms:
As 0.0000 0.0000 0.0000
H 0.0000 0.0000 0.5000
Se 0.0000 0.0000 0.1072

Properties
energy above the lowest structure with this stoichiometry: 687.0 meV/atom

---

A plane-wave DFT calculation with GGA-PBE was carried out for Sc2ZnAs after structural relaxation.

Cell: 3.7970 3.7970 20.3395 Å, 90.00 90.00 120.00°
Space group R-3m (No. 166, hexagonal axes)
One atom of each set of equivalent atoms:
Sc 0.0000 0.0000 0.2417
Zn 0.0000 0.0000 0.0000
As 0.0000 0.0000 0.5000

Properties
energy of formation: -2.80 eV/f.u.
energy above the lowest structure with this stoichiometry: 100.0 meV/atom

---

A plane-wave DFT calculation with GGA-PBE was carried out for Sb2TePtBr after structural relaxation.

Cell: 5.337 5.337 5.369 Å, 90.00 90.00 90.00°
Space group P4/mmm (No. 123)
One atom of each set of equivalent atoms:
Sb 0.000 0.500 0.000
Te 0.000 0.000 0.500
Pt 0.000 0.000 0.000
Br 0.500 0.500 0.500

Properties
energy above the lowest structure with this stoichiometry: 0.0 meV/atom
formation energy without anion corrections: 0.33 eV/atom

---

A plane-wave DFT calculation with GGA-PBE was carried out for HoZnAg4 after structural relaxation.

Cell: 4.933 4.933 10.129 Å, 76.12 76.08 89.93°
Space group P-1 (No. 2)
One atom of each set of equivalent atoms:
Ho 0.249 0.250 0.000
Zn 0.000 0.500 0.500
Zn 0.500 0.000 0.500
Ag 0.073 0.076 0.351
Ag 0.157 0.655 0.191
Ag 0.347 0.845 0.809
Ag 0.423 0.424 0.649

Properties
energy of formation: -0.63 eV/f.u.
energy above the lowest structure with this stoichiometry: 0.0 meV/atom

---

A plane-wave DFT calculation with GGA-PBE was carried out for ReMo2HAu after structural relaxation.

Cell: 4.024 4.024 4.024 Å, 90.00 90.00 90.00°
Space group P4/mmm (No. 123)
One atom of each set of equivalent atoms:
Re 0.000 0.000 0.000
Mo 0.000 0.500 0.500
H 0.000 0.000 0.500
Au 0.500 0.500 0.000

---

The following E values (in Ry/atom) correspond, in order, to the records above: -0.650, -0.482, -0.554, -0.229, -0.393, -0.257, -0.219, -0.585.